[1]
{
  "formula": "CePmIn2",
  "functional": "GGA-PBE",
  "state": "optimized geometry",
  "sg": "R-3m, No. 166",
  "lattice_angstrom": [[3.729, 0.000, 0.000], [1.865, 3.230, 0.000], [1.865, 1.077, 10.097]],
  "species": ["Pm", "In", "Ce", "In"],
  "frac_coords": [[0.500, 0.500, 0.500], [0.750, 0.750, 0.749], [0.000, 0.000, 0.000], [0.250, 0.250, 0.251]]
}

[2]
{
  "formula": "CaMoRh2",
  "functional": "GGA-PBE",
  "state": "optimized geometry",
  "sg": "Pm, No. 6",
  "lattice_angstrom": [[4.766, 0.000, 0.000], [0.000, 2.893, -0.067], [0.000, 0.467, 4.869]],
  "species": ["Mo", "Rh", "Rh", "Ca"],
  "frac_coords": [[0.500, 0.697, 0.837], [0.500, 0.087, 0.333], [0.000, 0.133, 0.920], [0.000, 0.583, 0.410]]
}

[3]
{
  "formula": "LiGaRu",
  "functional": "GGA-PBE",
  "state": "optimized geometry",
  "sg": "P2_1/m, No. 11",
  "lattice_angstrom": [[-3.075, 1.778, -2.513], [-2.756, -3.199, 1.111], [-2.745, 0.758, 3.896]],
  "species": ["Li", "Ga", "Ga", "Ru", "Ru", "Li"],
  "frac_coords": [[0.750, 0.908, 0.174], [0.750, 0.241, 0.507], [0.250, 0.759, 0.493], [0.750, 0.572, 0.846], [0.250, 0.428, 0.154], [0.250, 0.092, 0.826]]
}

[4]
{
  "formula": "TaTi2Hg",
  "functional": "GGA-PBE",
  "state": "optimized geometry",
  "sg": "P4/mmm, No. 123",
  "lattice_angstrom": [[3.310, 0.000, 0.000], [0.000, 3.310, 0.000], [0.000, 0.000, 6.636]],
  "species": ["Hg", "Ta", "Ti", "Ti"],
  "frac_coords": [[0.500, 0.500, 0.500], [0.500, 0.500, 0.000], [0.000, 0.000, 0.770], [0.000, 0.000, 0.230]]
}

| no. | energy relative to the elements (eV/atom) | total magnetization (μB/atom) |
| --- | --- | --- |
| 1 | -0.223 | 0.22 |
| 2 | 0.009 | 0.00 |
| 3 | -0.228 | 0.00 |
| 4 | -0.043 | 0.00 |